Material: YErCu
Method: DFT, PBE
State: relaxed

Lattice parameters (Å, degrees): 12.8401 3.4609 6.9244 90.00 105.70 90.00
Last column: nearest neighbours and their distance in Å.
Space group C2/m (No. 12)
Unique sites:
Y: 0.1382 0.0000 0.0689 [4 per cell]  4 Cu 3.04-3.05
Er: 0.1388 0.0000 0.5694 [4 per cell]  4 Cu 2.93-2.94
Cu: 0.0007 0.5000 0.7357 [4 per cell]  4 Er 2.93-2.94, 4 Y 3.04-3.05, 1 Cu 3.26

Results
The total energy is -5.1795 eV per atom. Its formation energy from the elements is -0.14 eV per atom. The total magnetization comes out at 1.486 μB/cell. Its theoretical density is 7.2 g cm⁻³. The energy above the most stable polymorph in this dataset is 0.0141 eV per atom.

---

Material: Y2Er2Cu3
Method: DFT, PBE
State: relaxed

Lattice parameters (Å, degrees): 4.8439 4.8439 23.9410 90.00 90.00 120.00
Last column: nearest neighbours and their distance in Å.
Space group R-3m (No. 166, hexagonal axes)
Unique sites:
Y: 0.0000 0.0000 0.1251 [6 per cell]  5 Cu 2.99-3.04
Er: 0.0000 0.0000 0.3747 [6 per cell]  7 Cu 2.93-2.97
Cu: 0.0000 0.0000 0.0000 [3 per cell]  6 Er 2.97, 2 Y 2.99
Cu: 0.0000 0.0000 0.2522 [6 per cell]  4 Er 2.93-2.95, 4 Y 2.99-3.04

Results
The total energy is -5.0425 eV per atom. Its formation energy from the elements is -0.14 eV per atom. The total magnetization comes out at 0.000 μB/cell. Its theoretical density is 7.2 g cm⁻³.

---

Material: YEr2Cu
Method: DFT, PBE
State: relaxed

Lattice parameters (Å, degrees): 6.8100 9.6641 6.4342 90.00 90.00 90.00
Last column: nearest neighbours and their distance in Å.
Space group Pnma (No. 62)
Unique sites:
Y: 0.0170 0.2500 0.1309 [4 per cell]  2 Cu 2.84-2.90
Er: 0.1890 0.0598 0.6852 [8 per cell]  2 Cu 2.80-2.88
Cu: 0.0958 0.7500 0.4434 [4 per cell]  4 Er 2.80-2.88, 2 Y 2.84-2.90

Results
The total energy is -5.0419 eV per atom. Its formation energy from the elements is -0.12 eV per atom. The total magnetization comes out at 0.000 μB/cell. Its theoretical density is 7.6 g cm⁻³. The energy above the most stable polymorph in this dataset is 0.0000 eV per atom.

---

Material: YEr4Cu2
Method: DFT, PBE
State: relaxed

Lattice parameters (Å, degrees): 7.3092 6.3991 8.1483 90.00 110.38 90.00
Last column: nearest neighbours and their distance in Å.
Space group P2_1/m (No. 11)
Unique sites:
Y: 0.1459 0.2500 0.0265 [2 per cell]  2 Cu 2.93-3.11
Er: 0.0329 0.2500 0.3927 [2 per cell]  1 Cu 2.63
Er: 0.2267 0.7500 0.3434 [2 per cell]  2 Cu 2.72-2.94
Er: 0.4006 0.0050 0.7654 [4 per cell]  4 Cu 2.91-3.22, 2 Er 3.14-3.26
Cu: 0.2626 0.7500 0.9950 [2 per cell]  6 Er 2.91-3.14, 1 Y 2.93
Cu: 0.4025 0.2500 0.4212 [2 per cell]  4 Er 2.63-2.93

Results
The total energy is -4.7490 eV per atom. Its formation energy from the elements is -0.05 eV per atom. The total magnetization comes out at 0.000 μB/cell. Its theoretical density is 8.2 g cm⁻³.

---

Material: Y3ErCu
Method: DFT, PBE
State: relaxed

Lattice parameters (Å, degrees): 11.4380 8.4375 7.8220 90.00 128.46 90.00
Last column: nearest neighbours and their distance in Å.
Space group C2/m (No. 12)
Unique sites:
Y: 0.0372 0.0000 0.3049 [4 per cell]  1 Cu 2.84
Y: 0.2057 0.3003 0.7374 [8 per cell]  2 Cu 2.77-3.05
Er: 0.0770 0.5000 0.2749 [4 per cell]  2 Cu 2.77-2.90
Cu: 0.2241 0.5000 0.0788 [4 per cell]  2 Er 2.77-2.90, 5 Y 2.77-3.05

Results
The total energy is -5.5827 eV per atom. Its formation energy from the elements is 0.03 eV per atom. The total magnetization comes out at 0.000 μB/cell. Its theoretical density is 5.6 g cm⁻³.

---

Material: Y3Er2Cu2
Method: DFT, PBE
State: relaxed

Lattice parameters (Å, degrees): 12.5098 3.5995 9.0171 90.00 116.58 90.00
Last column: nearest neighbours and their distance in Å.
Space group C2/m (No. 12)
Unique sites:
Y: 0.0000 0.0000 0.0000 [2 per cell]  4 Cu 2.86
Y: 0.1130 0.0000 0.4417 [4 per cell]  3 Cu 2.98
Er: 0.1573 0.5000 0.8144 [4 per cell]  2 Cu 2.92
Cu: 0.1741 0.5000 0.2280 [4 per cell]  5 Y 2.86-2.98, 2 Er 2.92

Results
The total energy is -5.3629 eV per atom. Its formation energy from the elements is -0.12 eV per atom. The total magnetization comes out at 0.000 μB/cell. Its theoretical density is 6.7 g cm⁻³.